Below is ReAgRh2 after structural relaxation, with properties calculated at the PBE level.

POSCAR file:
```
ReAgRh2
1.0
2.7625 0.0000 0.0000
0.0000 3.8088 0.0000
0.0000 0.0000 5.7326
Re Ag Rh
1 1 2
direct
0.0000 0.0000 0.0000
0.0000 0.0000 0.5000
0.5000 0.5000 0.2317
0.5000 0.5000 0.7683
```

Distance to the lowest polymorph of the same formula ... 0.133 eV/atom
Energy of formation from the pure elements ... 127 meV/atom
Volume ... 15.08 Å³ per atom

Below is CaY2PbN after structural relaxation, with properties calculated at the PBE level.

POSCAR file:
```
CaY2PbN
1.0
4.8335 0.0000 0.0000
0.0000 4.8335 0.0000
0.0000 0.0000 4.9133
Ca Y Pb N
1 2 1 1
direct
0.0000 0.0000 0.0000
0.0000 0.5000 0.5000
0.5000 0.0000 0.5000
0.5000 0.5000 0.0000
0.0000 0.0000 0.5000
```

E_form (uncorrected) ... -0.957 eV per atom
Volume ... 22.96 Å³ per atom

Below is LaCrMo4 after structural relaxation, with properties calculated at the PBE level.

POSCAR file:
```
LaCrMo4
1.0
0.0000 3.8417 3.8417
3.8417 0.0000 3.8417
3.8417 3.8417 0.0000
La Cr Mo
1 1 4
direct
0.0000 0.0000 0.0000
0.2500 0.2500 0.2500
0.1246 0.6251 0.6251
0.6251 0.1246 0.6251
0.6251 0.6251 0.1246
0.6251 0.6251 0.6251
```

Energy of formation from the pure elements ... 534 meV/atom
Volume ... 18.90 Å³ per atom

Below is LiBe2AsBr after structural relaxation, with properties calculated at the PBE level.

POSCAR file:
```
LiBe2AsBr
1.0
4.0636 0.0000 0.0000
0.0000 4.0636 0.0000
0.0000 0.0000 9.8099
Li Be As Br
1 2 1 1
direct
0.0000 0.0000 0.0000
0.0000 0.5000 0.5000
0.5000 0.0000 0.5000
0.5000 0.5000 0.5000
0.5000 0.5000 0.0000
```

E_form (uncorrected) ... 0.049 eV per atom
Volume ... 32.40 Å³ per atom

Below is DyZnCd2 after structural relaxation, with properties calculated at the PBE level.

POSCAR file:
```
DyZnCd2
1.0
-2.4794 2.4794 3.4967
2.4794 -2.4794 3.4967
2.4794 2.4794 -3.4967
Dy Zn Cd
1 1 2
direct
0.0000 0.0000 0.0000
0.2500 0.7500 0.5000
0.5000 0.5000 0.0000
0.7500 0.2500 0.5000
```

Energy of formation from the pure elements ... -260 meV/atom
Volume ... 21.50 Å³ per atom

Below is Tm6Al2In after structural relaxation, with properties calculated at the PBE level.

POSCAR file:
```
Tm6Al2In
1.0
-2.5147 3.5628 7.5429
2.5147 -3.5628 7.5429
2.5147 3.5628 -7.5429
Tm Al In
6 2 1
direct
0.0766 0.3305 0.7461
0.2425 0.0000 0.2425
0.4155 0.6695 0.7461
0.5845 0.3305 0.2539
0.7575 0.0000 0.7575
0.9234 0.6695 0.2539
0.1670 0.1670 0.0000
0.8330 0.8330 0.0000
0.5000 0.5000 0.0000
```

Distance to the lowest polymorph of the same formula ... 0.261 eV/atom
Energy of formation from the pure elements ... -39 meV/atom
Volume ... 30.03 Å³ per atom